This record from Alexandria describes a relaxed structure of AcGaGePd6. The functional is PBE-GGA.

Results
- Total DFT energy (no corrections): -5.139 eV/atom
- DOS at the Fermi energy: 7.2 states/eV/cell

a b c (Å): 6.945 9.251 8.134
angles (deg): 124.66 115.27 90.00
Fractional positions:
Ac: 0.838 0.588 0.675
Ac: 0.162 0.412 0.325
Ga: 0.500 0.000 0.500
Ga: 0.000 0.000 0.500
Ge: 0.500 0.500 0.000
Ge: 0.500 0.000 0.000
Pd: 0.425 0.675 0.850
Pd: 0.903 0.153 0.806
Pd: 0.900 0.115 0.257
Pd: 0.357 0.642 0.257
Pd: 0.357 0.115 0.257
Pd: 0.900 0.642 0.257
Pd: 0.575 0.325 0.150
Pd: 0.097 0.847 0.194
Pd: 0.100 0.885 0.743
Pd: 0.643 0.358 0.743
Pd: 0.643 0.885 0.743
Pd: 0.100 0.358 0.743